Record 1
# CoReBr2 SCAN PBEsol geometry
data_CoReBr2
_chemical_formula_sum 'Co1 Re1 Br2'
_cell_length_a 4.480
_cell_length_b 4.480
_cell_length_c 3.099
_cell_angle_alpha 90.00
_cell_angle_beta 90.00
_cell_angle_gamma 90.00
_symmetry_space_group_name_H-M 'P 1'
_symmetry_Int_Tables_number 1
_symmetry_space_group_name_Hall 'P 1'
loop_
_atom_site_label
_atom_site_fract_x
_atom_site_fract_y
_atom_site_fract_z
Co1 0.000 0.000 0.000
Re1 0.500 0.500 0.000
Br1 0.000 0.500 0.500
Br2 0.500 0.000 0.500
# Volume   62 Å³/cell
# Energy above the most stable polymorph in this dataset   1.001 eV/atom
# Symmetry   P4/mmm

=====

Record 2
# ZrZnAs2Se SCAN PBEsol geometry
data_ZrZnAs2Se
_chemical_formula_sum 'Zr1 Zn1 As2 Se1'
_cell_length_a 5.159
_cell_length_b 5.159
_cell_length_c 5.061
_cell_angle_alpha 90.00
_cell_angle_beta 90.00
_cell_angle_gamma 90.00
_symmetry_space_group_name_H-M 'P 1'
_symmetry_Int_Tables_number 1
_symmetry_space_group_name_Hall 'P 1'
loop_
_atom_site_label
_atom_site_fract_x
_atom_site_fract_y
_atom_site_fract_z
Zr1 0.000 0.000 0.000
Zn1 0.500 0.500 0.500
As1 0.000 0.500 0.000
As2 0.500 0.000 0.000
Se1 0.000 0.000 0.500
# Volume   135 Å³/cell
# VASP energy   -20.75 eV per atom
# Symmetry   P4/mmm

=====

Record 3
# LiTaCu2 SCAN PBEsol geometry
data_LiTaCu2
_chemical_formula_sum 'Li1 Ta1 Cu2'
_cell_length_a 4.980
_cell_length_b 4.980
_cell_length_c 4.623
_cell_angle_alpha 103.75
_cell_angle_beta 103.75
_cell_angle_gamma 29.98
_symmetry_space_group_name_H-M 'P 1'
_symmetry_Int_Tables_number 1
_symmetry_space_group_name_Hall 'P 1'
loop_
_atom_site_label
_atom_site_fract_x
_atom_site_fract_y
_atom_site_fract_z
Li1 0.000 0.000 0.000
Ta1 0.793 0.793 0.372
Cu1 0.241 0.241 0.850
Cu2 0.542 0.542 0.523
# Formation energy from the elements   0.127 eV/atom
# Volume   56 Å³/cell
# Symmetry   Cm

=====

Record 4
# Tm2Si4Mo3 SCAN PBEsol geometry
data_Tm2Si4Mo3
_chemical_formula_sum 'Tm4 Si8 Mo6'
_cell_length_a 6.758
_cell_length_b 6.815
_cell_length_c 6.642
_cell_angle_alpha 90.00
_cell_angle_beta 108.95
_cell_angle_gamma 90.00
_symmetry_space_group_name_H-M 'P 1'
_symmetry_Int_Tables_number 1
_symmetry_space_group_name_Hall 'P 1'
loop_
_atom_site_label
_atom_site_fract_x
_atom_site_fract_y
_atom_site_fract_z
Tm1 0.190 0.170 0.061
Tm2 0.190 0.330 0.561
Tm3 0.810 0.670 0.439
Tm4 0.810 0.830 0.939
Si1 0.089 0.543 0.866
Si2 0.089 0.957 0.366
Si3 0.497 0.632 0.629
Si4 0.497 0.868 0.129
Si5 0.503 0.132 0.871
Si6 0.503 0.368 0.371
Si7 0.911 0.043 0.634
Si8 0.911 0.457 0.134
Mo1 0.249 0.664 0.248
Mo2 0.249 0.836 0.748
Mo3 0.500 0.000 0.500
Mo4 0.500 0.500 0.000
Mo5 0.751 0.164 0.252
Mo6 0.751 0.336 0.752
# Volume   289 Å³/cell
# VASP energy   -28.28 eV per atom
# Symmetry   P2_1/c

=====

Record 5
# Na2NiBOs SCAN PBEsol geometry
data_Na2NiBOs
_chemical_formula_sum 'Na2 Ni1 B1 Os1'
_cell_length_a 4.535
_cell_length_b 4.535
_cell_length_c 4.016
_cell_angle_alpha 90.00
_cell_angle_beta 90.00
_cell_angle_gamma 90.00
_symmetry_space_group_name_H-M 'P 1'
_symmetry_Int_Tables_number 1
_symmetry_space_group_name_Hall 'P 1'
loop_
_atom_site_label
_atom_site_fract_x
_atom_site_fract_y
_atom_site_fract_z
Na1 0.000 0.500 0.000
Na2 0.500 0.000 0.000
Ni1 0.000 0.000 0.500
B1 0.500 0.500 0.000
Os1 0.500 0.500 0.500
# Formation energy from the elements   1.079 eV/atom
# Volume   83 Å³/cell
# Symmetry   P4/mmm

=====

Record 6
# KP3 SCAN PBEsol geometry
data_KP3
_chemical_formula_sum 'K1 P3'
_cell_length_a 5.048
_cell_length_b 5.048
_cell_length_c 5.048
_cell_angle_alpha 130.25
_cell_angle_beta 130.25
_cell_angle_gamma 73.00
_symmetry_space_group_name_H-M 'P 1'
_symmetry_Int_Tables_number 1
_symmetry_space_group_name_Hall 'P 1'
loop_
_atom_site_label
_atom_site_fract_x
_atom_site_fract_y
_atom_site_fract_z
K1 0.000 0.000 0.000
P1 0.250 0.750 0.500
P2 0.500 0.500 0.000
P3 0.750 0.250 0.500
# Formation energy from the elements   0.787 eV/atom
# Volume   73 Å³/cell
# Energy above the most stable polymorph in this dataset   0.076 eV/atom
# Symmetry   I4/mmm

=====

Record 7
# BeSi3 SCAN PBEsol geometry
data_BeSi3
_chemical_formula_sum 'Be1 Si3'
_cell_length_a 8.267
_cell_length_b 8.267
_cell_length_c 8.267
_cell_angle_alpha 18.68
_cell_angle_beta 18.68
_cell_angle_gamma 18.68
_symmetry_space_group_name_H-M 'P 1'
_symmetry_Int_Tables_number 1
_symmetry_space_group_name_Hall 'P 1'
loop_
_atom_site_label
_atom_site_fract_x
_atom_site_fract_y
_atom_site_fract_z
Be1 0.000 0.000 0.000
Si1 0.257 0.257 0.257
Si2 0.500 0.500 0.500
Si3 0.743 0.743 0.743
# Volume   51 Å³/cell
# Energy above the most stable polymorph in this dataset   0.029 eV/atom
# Symmetry   R-3m

=====

Record 8
# MnHgSe SCAN PBEsol geometry
data_MnHgSe
_chemical_formula_sum 'Mn1 Hg1 Se1'
_cell_length_a 4.500
_cell_length_b 4.500
_cell_length_c 4.500
_cell_angle_alpha 60.00
_cell_angle_beta 60.00
_cell_angle_gamma 60.00
_symmetry_space_group_name_H-M 'P 1'
_symmetry_Int_Tables_number 1
_symmetry_space_group_name_Hall 'P 1'
loop_
_atom_site_label
_atom_site_fract_x
_atom_site_fract_y
_atom_site_fract_z
Mn1 0.000 0.000 0.000
Hg1 0.250 0.250 0.250
Se1 0.750 0.750 0.750
# Volume   64 Å³/cell
# VASP energy   -35.74 eV per atom
# Symmetry   F-43m

=====

The highest volume belongs to which entry?
Tm2Si4Mo3